# 1
Entry from Alexandria via LeMat-Bulk: a PBEsol-optimized structure of ScTcCl (SCAN).

The value obtained for the calculated density is 6290 kg/m³. As for the calculated volume: 47.1 Å³/cell. For the raw formation energy, the calculation gives -6 kJ/mol of atoms.

The space group is P-6m2 (No. 187) and the conventional cell measures 4.1743, 4.1743 and 3.1211 Å, with angles of 90.00, 90.00 and 120.00 degrees. The inequivalent atoms are Sc at (0.0000, 0.0000, 0.0000), Tc at (0.3333, 0.6667, 0.5000) and Cl at (0.6667, 0.3333, 0.5000).



# 2
Entry from Alexandria via LeMat-Bulk: a PBEsol-optimized structure of Sc2TcCl (SCAN).

The value obtained for the calculated density is 4534 kg/m³. As for the calculated volume: 245.4 Å³/cell. For the raw formation energy, the calculation gives -62 kJ/mol of atoms.

The space group is R-3m (No. 166, hexagonal axes) and the conventional cell measures 3.3164, 3.3164 and 25.7663 Å, with angles of 90.00, 90.00 and 120.00 degrees. The inequivalent atoms are Sc at (0.0000, 0.0000, 0.0957), Tc at (0.0000, 0.0000, 0.5000) and Cl at (0.0000, 0.0000, 0.0000).



# 3
Entry from Alexandria via LeMat-Bulk: a PBEsol-optimized structure of ScTc2Cl (SCAN).

The value obtained for the calculated density is 6952 kg/m³. As for the calculated volume: 66.0 Å³/cell. For the raw formation energy, the calculation gives 18 kJ/mol of atoms.

The space group is Pmmm (No. 47) and the conventional cell measures 2.967, 4.390 and 5.069 Å, with angles of 90.00, 90.00 and 90.00 degrees. The inequivalent atoms are Sc at (0.000, 0.000, 0.000), Tc at (0.500, 0.500, 0.217) and Cl at (0.000, 0.000, 0.500).



# 4
Entry from Alexandria via LeMat-Bulk: a PBEsol-optimized structure of Sc2TcCl (SCAN).

The value obtained for the calculated density is 4965 kg/m³. As for the calculated volume: 74.7 Å³/cell. For the raw formation energy, the calculation gives -45 kJ/mol of atoms.

The space group is P4mm (No. 99) and the conventional cell measures 3.742, 3.742 and 5.334 Å, with angles of 90.00, 90.00 and 90.00 degrees. The inequivalent atoms are Sc at (0.000, 0.000, 0.000), Sc at (0.500, 0.500, 0.413), Tc at (0.000, 0.000, 0.447) and Cl at (0.500, 0.500, 0.921).



# 5
Entry from Alexandria via LeMat-Bulk: a PBEsol-optimized structure of ScTe2Cl (SCAN).

The value obtained for the calculated density is 5625 kg/m³. As for the calculated volume: 198.1 Å³/cell. For the raw formation energy, the calculation gives -78 kJ/mol of atoms.

The space group is C2/m (No. 12) and the conventional cell measures 10.630, 3.628 and 5.287 Å, with angles of 90.00, 103.66 and 90.00 degrees. The inequivalent atoms are Sc at (0.000, 0.000, 0.000), Te at (0.214, 0.500, 0.206) and Cl at (0.000, 0.500, 0.500).



# 6
Entry from Alexandria via LeMat-Bulk: a PBEsol-optimized structure of Sc2TeCl (SCAN).

The value obtained for the calculated density is 4980 kg/m³. As for the calculated volume: 168.7 Å³/cell. For the raw formation energy, the calculation gives -101 kJ/mol of atoms.

The space group is Immm (No. 71) and the conventional cell measures 3.834, 5.682 and 7.744 Å, with angles of 90.00, 90.00 and 90.00 degrees. The inequivalent atoms are Sc at (0.000, 0.000, 0.204), Te at (0.000, 0.500, 0.000) and Cl at (0.000, 0.500, 0.500).



# 7
Entry from Alexandria via LeMat-Bulk: a PBEsol-optimized structure of ScTe3Cl (SCAN).

The value obtained for the calculated density is 5338 kg/m³. As for the calculated volume: 144.1 Å³/cell. For the raw formation energy, the calculation gives 32 kJ/mol of atoms.

The space group is Pm-3m (No. 221) and the conventional cell measures 5.243, 5.243 and 5.243 Å, with angles of 90.00, 90.00 and 90.00 degrees. The inequivalent atoms are Sc at (0.000, 0.000, 0.000), Te at (0.000, 0.500, 0.500) and Cl at (0.500, 0.500, 0.500).



# 8
Entry from Alexandria via LeMat-Bulk: a PBEsol-optimized structure of ScTeCl (SCAN).

The value obtained for the calculated density is 4465 kg/m³. As for the calculated volume: 309.4 Å³/cell. For the raw formation energy, the calculation gives -139 kJ/mol of atoms.

The space group is F-43m (No. 216) and the conventional cell measures 6.764, 6.764 and 6.764 Å, with angles of 90.00, 90.00 and 90.00 degrees. The inequivalent atoms are Sc at (0.000, 0.000, 0.000), Te at (0.250, 0.250, 0.750) and Cl at (0.250, 0.250, 0.250).



# 9
Entry from Alexandria via LeMat-Bulk: a PBEsol-optimized structure of Sc2TeCl (SCAN).

The value obtained for the calculated density is 4833 kg/m³. As for the calculated volume: 173.8 Å³/cell. For the raw formation energy, the calculation gives -91 kJ/mol of atoms.

The space group is Imm2 (No. 44) and the conventional cell measures 3.445, 4.801 and 10.509 Å, with angles of 90.00, 90.00 and 90.00 degrees. The inequivalent atoms are Sc at (0.000, 0.000, 0.000), Sc at (0.000, 0.500, 0.223), Te at (0.000, 0.000, 0.486) and Cl at (0.000, 0.500, 0.696).



# 10
Entry from Alexandria via LeMat-Bulk: a PBEsol-optimized structure of Sc2TeCl (SCAN).

The value obtained for the calculated density is 4274 kg/m³. As for the calculated volume: 294.9 Å³/cell. For the raw formation energy, the calculation gives -57 kJ/mol of atoms.

The space group is R-3m (No. 166, hexagonal axes) and the conventional cell measures 3.8409, 3.8409 and 23.0790 Å, with angles of 90.00, 90.00 and 120.00 degrees. The inequivalent atoms are Sc at (0.0000, 0.0000, 0.1152), Te at (0.0000, 0.0000, 0.0000) and Cl at (0.0000, 0.0000, 0.5000).



# 11
Entry from Alexandria via LeMat-Bulk: a PBEsol-optimized structure of ScTe2Cl (SCAN).

The value obtained for the calculated density is 5551 kg/m³. As for the calculated volume: 200.8 Å³/cell. For the raw formation energy, the calculation gives -66 kJ/mol of atoms.

The space group is C2/m (No. 12) and the conventional cell measures 5.595, 8.891 and 4.036 Å, with angles of 90.00, 90.20 and 90.00 degrees. The inequivalent atoms are Sc at (0.000, 0.000, 0.000), Te at (0.250, 0.250, 0.500) and Cl at (0.000, 0.500, 0.000).



# 12
Entry from Alexandria via LeMat-Bulk: a PBEsol-optimized structure of ScTeCl (SCAN).

The value obtained for the calculated density is 4149 kg/m³. As for the calculated volume: 83.2 Å³/cell. For the raw formation energy, the calculation gives -165 kJ/mol of atoms.

The space group is P3m1 (No. 156) and the conventional cell measures 3.8648, 3.8648 and 6.4356 Å, with angles of 90.00, 90.00 and 120.00 degrees. The inequivalent atoms are Sc at (0.0000, 0.0000, 0.0000), Te at (0.3333, 0.6667, 0.7360) and Cl at (0.6667, 0.3333, 0.2222).



- calculated density of number 3 (ScTc2Cl)?
  6952 kg/m³



- Which of these has the lowest calculated density?
  number 12